1.
VASP calculation (PBE) on a relaxed structure of CsNbSeS2.

For the mass density, the calculation gives 3753 kg/m3. The calculation puts the total DFT energy (no corrections) at -5.56 eV/atom.

a b c (Å): 6.2179 7.7682 8.0716
angles (deg): 106.49 105.25 108.58
Space group P-1 (No. 2)
Asymmetric unit:
Cs 0.2176 0.3508 0.1543 [2 per cell]
Nb 0.2156 0.9398 0.4990 [2 per cell]
Se 0.1987 0.6471 0.5908 [2 per cell]
S 0.2191 0.2334 0.6959 [2 per cell]
S 0.3478 0.9445 0.2546 [2 per cell]

=====

2.
VASP calculation (PBE) on a relaxed structure of Dy2YMgPd4.

For the mass density, the calculation gives 8869 kg/m3. The calculation puts the total DFT energy (no corrections) at -5.58 eV/atom.

a b c (Å): 4.8547 4.8547 6.8631
angles (deg): 90.00 90.00 90.00
Space group P4/mmm (No. 123)
Asymmetric unit:
Dy 0.0000 0.0000 0.0000 [1 per cell]
Dy 0.5000 0.5000 0.5000 [1 per cell]
Y 0.0000 0.0000 0.5000 [1 per cell]
Mg 0.5000 0.5000 0.0000 [1 per cell]
Pd 0.0000 0.5000 0.2431 [4 per cell]

=====

3.
VASP calculation (PBE) on a relaxed structure of Y4Ta2Tl3C3.

For the mass density, the calculation gives 9424 kg/m3. The calculation puts the total DFT energy (no corrections) at -7.44 eV/atom.

a b c (Å): 10.4320 6.0616 15.6758
angles (deg): 90.00 103.64 90.00
Space group C2/c (No. 15)
Asymmetric unit:
Y 0.1159 0.0710 0.0918 [8 per cell]
Y 0.2116 0.0903 0.4081 [8 per cell]
Ta 0.0657 0.4108 0.9317 [8 per cell]
Tl 0.0000 0.1269 0.7500 [4 per cell]
Tl 0.1459 0.4347 0.2458 [8 per cell]
C 0.0730 0.2808 0.5000 [8 per cell]
C 0.2500 0.2500 0.0000 [4 per cell]

=====

4.
VASP calculation (PBE) on a relaxed structure of Ta2Bi3W4C3.

For the mass density, the calculation gives 14545 kg/m3. The calculation puts the total DFT energy (no corrections) at -9.32 eV/atom.

a b c (Å): 9.6767 5.6174 14.7949
angles (deg): 90.00 91.74 90.00
Space group C2/c (No. 15)
Asymmetric unit:
Ta 0.0810 0.0839 0.4211 [8 per cell]
Bi 0.0000 0.3901 0.2500 [4 per cell]
Bi 0.1650 0.1106 0.7390 [8 per cell]
W 0.0834 0.4209 0.5736 [8 per cell]
W 0.2449 0.4195 0.9301 [8 per cell]
C 0.0818 0.2468 0.0004 [8 per cell]
C 0.2500 0.2500 0.5000 [4 per cell]

=====

5.
VASP calculation (PBE) on a relaxed structure of Li2Zn2CdAg2Au.

For the mass density, the calculation gives 8361 kg/m3. The calculation puts the total DFT energy (no corrections) at -2.23 eV/atom.

a b c (Å): 4.5419 4.5419 6.4483
angles (deg): 90.00 90.00 90.00
Space group P-4m2 (No. 115)
Asymmetric unit:
Li 0.0000 0.0000 0.0000 [1 per cell]
Li 0.5000 0.5000 0.5000 [1 per cell]
Zn 0.0000 0.5000 0.2335 [2 per cell]
Cd 0.0000 0.0000 0.5000 [1 per cell]
Ag 0.0000 0.5000 0.7507 [2 per cell]
Au 0.5000 0.5000 0.0000 [1 per cell]

=====

6.
VASP calculation (PBE) on a relaxed structure of LiB4Mo.

For the mass density, the calculation gives 4797 kg/m3. The calculation puts the distance to the lowest polymorph of the same formula at 0 meV per atom.

a b c (Å): 2.9995 5.2232 6.4571
angles (deg): 90.00 90.00 90.00
Space group Immm (No. 71)
Asymmetric unit:
Li 0.0000 0.0000 0.0000 [2 per cell]
B 0.0000 0.3352 0.2499 [8 per cell]
Mo 0.0000 0.0000 0.5000 [2 per cell]

=====

7.
VASP calculation (PBE) on a relaxed structure of PrYPt2.

For the mass density, the calculation gives 10926 kg/m3. The calculation puts the distance to the lowest polymorph of the same formula at 9 meV per atom. The value obtained for the formation enthalpy at 0 K is -1.178 eV/atom.

a b c (Å): 4.5889 5.6744 7.2370
angles (deg): 90.00 90.00 90.00
Space group Pmc2_1 (No. 26)
Asymmetric unit:
Pr 0.0000 0.1107 0.0000 [2 per cell]
Y 0.5000 0.3908 0.6353 [2 per cell]
Pt 0.0000 0.4067 0.3629 [2 per cell]
Pt 0.5000 0.1015 0.2762 [2 per cell]

=====

8.
VASP calculation (PBE) on a relaxed structure of Nb3B2As.

For the mass density, the calculation gives 7355 kg/m3. The calculation puts the total DFT energy (no corrections) at -8.70 eV/atom.

a b c (Å): 3.3494 3.3494 17.4394
angles (deg): 90.00 90.00 120.00
Space group P6_3/mmc (No. 194)
Asymmetric unit:
Nb 0.0000 0.0000 0.0000 [2 per cell]
Nb 0.3333 0.6667 0.1446 [4 per cell]
B 0.3333 0.6667 0.5754 [4 per cell]
As 0.0000 0.0000 0.2500 [2 per cell]

=====

9.
VASP calculation (PBE) on a relaxed structure of LaTbTc.

For the mass density, the calculation gives 8529 kg/m3. The value obtained for the formation enthalpy at 0 K is 0.940 eV/atom.

a b c (Å): 6.7551 6.7551 6.7551
angles (deg): 90.00 90.00 90.00
Space group F-43m (No. 216)
Asymmetric unit:
La 0.0000 0.0000 0.0000 [4 per cell]
Tb 0.2500 0.2500 0.7500 [4 per cell]
Tc 0.2500 0.2500 0.2500 [4 per cell]

=====

10.
VASP calculation (PBE) on a relaxed structure of Pr2GdCd3Cu2Ag.

For the mass density, the calculation gives 7984 kg/m3. The value obtained for the formation enthalpy at 0 K is -0.290 eV/atom.

a b c (Å): 3.9684 13.5709 7.8104
angles (deg): 90.00 90.00 90.00
Space group Amm2 (No. 38)
Asymmetric unit:
Pr 0.0000 0.2056 0.0000 [4 per cell]
Gd 0.0000 0.0000 0.3825 [2 per cell]
Cd 0.5000 0.0000 0.0610 [2 per cell]
Cd 0.5000 0.1300 0.6599 [4 per cell]
Cu 0.5000 0.1631 0.2961 [4 per cell]
Ag 0.0000 0.0000 0.7922 [2 per cell]

=====

11.
VASP calculation (PBE) on a relaxed structure of Dy3Be2Br.

For the mass density, the calculation gives 6793 kg/m3. The calculation puts the total DFT energy (no corrections) at -3.99 eV/atom.

a b c (Å): 4.3481 4.3481 8.7402
angles (deg): 90.00 90.00 120.00
Space group P-3m1 (No. 164)
Asymmetric unit:
Dy 0.0000 0.0000 0.0000 [1 per cell]
Dy 0.3333 0.6667 0.2673 [2 per cell]
Be 0.3333 0.6667 0.9156 [2 per cell]
Br 0.0000 0.0000 0.5000 [1 per cell]

=====

12.
VASP calculation (PBE) on a relaxed structure of SrMg2CdGe.

For the mass density, the calculation gives 4233 kg/m3. The calculation puts the total DFT energy (no corrections) at -2.43 eV/atom.

a b c (Å): 4.4920 4.4920 12.4911
angles (deg): 90.00 90.00 90.00
Space group I4mm (No. 107)
Asymmetric unit:
Sr 0.0000 0.0000 0.0000 [2 per cell]
Mg 0.0000 0.5000 0.2700 [4 per cell]
Cd 0.0000 0.0000 0.6184 [2 per cell]
Ge 0.0000 0.0000 0.4006 [2 per cell]